The following is a DFT calculation (PBE) of CuSiMo2 after structural relaxation. Values from VASP.

Structure (Quantum ESPRESSO input):
```
&SYSTEM
  ibrav = 0, nat = 8, ntyp = 3
/
ATOMIC_SPECIES
Cu 63.55 Cu.upf
Si 28.09 Si.upf
Mo 95.94 Mo.upf
CELL_PARAMETERS angstrom
5.216 0.000 0.000
0.000 7.843 0.000
0.000 0.000 2.757
ATOMIC_POSITIONS crystal
Cu 0.000 0.000 0.000
Cu 0.500 0.500 0.000
Si 0.000 0.500 0.000
Si 0.500 0.000 0.000
Mo 0.250 0.250 0.500
Mo 0.250 0.750 0.500
Mo 0.750 0.250 0.500
Mo 0.750 0.750 0.500
```

Properties
For the uncorrected formation energy, the calculation gives 0.051 eV/atom. For the volume, the calculation gives 14.098 Å³ per atom.